No. 1
This record from the Alexandria database describes a geometry-optimized Er6Mg5Bi structure. The functional is PBE.

Results
- V: 26.7 A^3/atom
- Crystal system: orthorhombic
- M_tot: 0.0000 μB/atom
- Final energy: -82.635 eV for the cell shown
- Calculated density: 6.912 g/cm³
- E_form: -174 meV/atom

Unit cell a=5.369 b=16.145 c=7.396 alpha=90.00 beta=90.00 gamma=90.00
Space group Cmmm (No. 65)
Unique sites:
Er (0.000, 0.000, 0.247) x4
Er (0.000, 0.331, 0.243) x8
Mg (0.000, 0.163, 0.000) x4
Mg (0.000, 0.174, 0.500) x4
Mg (0.000, 0.500, 0.000) x2
Bi (0.000, 0.500, 0.500) x2



No. 2
This record from the Alexandria database describes a geometry-optimized UAl3Fe7Si2 structure. The functional is PBE.

Results
- V: 13.0 A^3/atom
- Crystal system: monoclinic
- M_tot: 0.6142 μB/atom
- Final energy: -190.793 eV for the cell shown
- Calculated density: 7.544 g/cm³

Unit cell a=11.843 b=4.764 c=8.330 alpha=90.00 beta=134.15 gamma=90.00
Space group Cm (No. 8)
Unique sites:
U (0.000, 0.000, 0.000) x2
Al (0.009, 0.000, 0.379) x2
Al (0.149, 0.500, 0.647) x2
Al (0.354, 0.000, 0.371) x2
Fe (0.002, 0.500, 0.795) x2
Fe (0.003, 0.000, 0.672) x2
Fe (0.224, 0.500, 0.225) x2
Fe (0.247, 0.251, 0.500) x4
Fe (0.283, 0.000, 0.790) x2
Fe (0.495, 0.000, 0.227) x2
Si (0.248, 0.248, 0.003) x4



No. 3
This record from the Alexandria database describes a geometry-optimized Li2TbSn3 structure. The functional is PBE.

Results
- V: 22.9 A^3/atom
- Crystal system: orthorhombic
- M_tot: 0.0000 μB/atom
- Final energy: -46.630 eV for the cell shown
- Calculated density: 6.391 g/cm³
- E_form: -475 meV/atom

Unit cell a=4.532 b=13.626 c=4.451 alpha=90.00 beta=90.00 gamma=90.00
Space group Cmmm (No. 65)
Unique sites:
Li (0.000, 0.183, 0.000) x4
Tb (0.000, 0.500, 0.000) x2
Sn (0.000, 0.000, 0.500) x2
Sn (0.000, 0.329, 0.500) x4